(1)
This record from Alexandria via LeMat-Bulk describes HoMgBeHg after structural relaxation. The functional is PBE.

The calculated total energy is -2.657 eV/atom.

It has space group F-43m (No. 216), with a = 6.861 Å, b = 6.861 Å, c = 6.861 Å, α = 90.00°, β = 90.00° and γ = 90.00°. The asymmetric unit holds Ho at (0.000, 0.000, 0.000), Mg at (0.000, 0.000, 0.500), Be at (0.250, 0.250, 0.750) and Hg at (0.250, 0.250, 0.250).

***

(2)
This record from Alexandria via LeMat-Bulk describes SmHoBeHg after structural relaxation. The functional is PBE.

The calculated total energy is -3.429 eV/atom.

It has space group F-43m (No. 216), with a = 7.268 Å, b = 7.268 Å, c = 7.268 Å, α = 90.00°, β = 90.00° and γ = 90.00°. The asymmetric unit holds Sm at (0.000, 0.000, 0.000), Ho at (0.000, 0.000, 0.500), Be at (0.250, 0.250, 0.250) and Hg at (0.250, 0.250, 0.750).

***

(3)
This record from Alexandria via LeMat-Bulk describes Be2HgI after structural relaxation. The functional is PBE.

As for the uncorrected formation energy: 235.2 kJ/mol of formula units.

It has space group I-42d (No. 122), with a = 5.993 Å, b = 5.993 Å, c = 10.153 Å, α = 90.00°, β = 90.00° and γ = 90.00°. The asymmetric unit holds Be at (0.228, 0.250, 0.125), Hg at (0.000, 0.000, 0.000) and I at (0.000, 0.000, 0.500).

***

(4)
This record from Alexandria via LeMat-Bulk describes BeHgI4 after structural relaxation. The functional is PBE.

As for the uncorrected formation energy: -89.9 kJ/mol of formula units.

It has space group P4_2/mmc (No. 131), with a = 8.033 Å, b = 8.033 Å, c = 10.250 Å, α = 90.00°, β = 90.00° and γ = 90.00°. The asymmetric unit holds Be at (0.000, 0.500, 0.000), Hg at (0.000, 0.000, 0.000) and I at (0.231, 0.279, 0.000).

***

(5)
This record from Alexandria via LeMat-Bulk describes BeHg2I after structural relaxation. The functional is PBE.

As for the uncorrected formation energy: 84.5 kJ/mol of formula units.

It has space group I-42d (No. 122), with a = 6.972 Å, b = 6.972 Å, c = 10.211 Å, α = 90.00°, β = 90.00° and γ = 90.00°. The asymmetric unit holds Be at (0.000, 0.000, 0.000), Hg at (0.152, 0.250, 0.125) and I at (0.000, 0.000, 0.500).

***

(6)
This record from Alexandria via LeMat-Bulk describes Be2HgI after structural relaxation. The functional is PBE.

As for the uncorrected formation energy: 424.9 kJ/mol of formula units.

It has space group Fm-3m (No. 225), with a = 6.874 Å, b = 6.874 Å, c = 6.874 Å, α = 90.00°, β = 90.00° and γ = 90.00°. The asymmetric unit holds Be at (0.250, 0.250, 0.250), Hg at (0.000, 0.000, 0.000) and I at (0.000, 0.000, 0.500).

***

(7)
This record from Alexandria via LeMat-Bulk describes BeHgI5 after structural relaxation. The functional is PBE.

As for the uncorrected formation energy: -103.1 kJ/mol of formula units.

It has space group Pnma (No. 62), with a = 19.054 Å, b = 7.099 Å, c = 12.219 Å, α = 90.00°, β = 90.00° and γ = 90.00°. The asymmetric unit holds Be at (0.024, 0.250, 0.161), Hg at (0.181, 0.750, 0.926), I at (0.000, 0.000, 0.500), I at (0.088, 0.750, 0.756), I at (0.091, 0.509, 0.134) and I at (0.193, 0.250, 0.513).

***

(8)
This record from Alexandria via LeMat-Bulk describes BeHg2I6 after structural relaxation. The functional is PBE.

As for the uncorrected formation energy: -326.2 kJ/mol of formula units.

It has space group C2/c (No. 15), with a = 16.072 Å, b = 15.505 Å, c = 7.617 Å, α = 90.00°, β = 118.19° and γ = 90.00°. The asymmetric unit holds Be at (0.000, 0.243, 0.250), Hg at (0.244, 0.417, 0.458), I at (0.090, 0.329, 0.133), I at (0.092, 0.157, 0.545) and I at (0.239, 0.408, 0.823).